# PBE with a Hubbard U FeReBO, optimized geometry
data_FeReBO
_chemical_formula_sum 'Fe1 Re1 B1 O1'
_symmetry_space_group_name_H-M 'P 1'
_symmetry_Int_Tables_number 1
_symmetry_space_group_name_Hall 'P 1'
_cell_length_a 4.115
_cell_length_b 4.115
_cell_length_c 5.147
_cell_angle_alpha 127.99
_cell_angle_beta 127.99
_cell_angle_gamma 40.62
loop_
_atom_site_label
_atom_site_fract_x
_atom_site_fract_y
_atom_site_fract_z
Fe1 0.000 0.000 0.000
Re1 0.487 0.487 0.472
B1 0.739 0.739 0.066
O1 0.223 0.223 0.550
# Density of states at the Fermi level ... 0.884 states/eV per cell
# Energy above the most stable polymorph in this dataset ... 0.3405 eV/atom